1.
{"formula": "MgTaRe2", "functional": "PBE", "state": "relaxed", "density_g_cm3": 14.65, "vol_a3_per_cell": 65.5, "magnetic_moment_mub_per_cell": 0.00, "formation_energy_ev_per_atom": 0.2415, "crystal_system": "orthorhombic", "energy_ev_per_atom": -9.344, "lattice_angstrom": [[2.6635, 0.0000, 0.0000], [0.0000, 4.3370, 0.0000], [0.0000, 0.0000, 5.6670]], "species": ["Mg", "Ta", "Re", "Re"], "frac_coords": [[0.0000, 0.0000, 0.0000], [0.0000, 0.0000, 0.5000], [0.5000, 0.5000, 0.2337], [0.5000, 0.5000, 0.7663]]}


2.
{"formula": "MgTaRe2", "functional": "PBE", "state": "relaxed", "density_g_cm3": 14.77, "vol_a3_per_cell": 64.9, "magnetic_moment_mub_per_cell": 0.00, "formation_energy_ev_per_atom": 0.1511, "crystal_system": "orthorhombic", "energy_ev_per_atom": -9.435, "lattice_angstrom": [[-1.5871, 2.2899, 4.4676], [1.5871, -2.2899, 4.4676], [1.5871, 2.2899, -4.4676]], "species": ["Mg", "Ta", "Re", "Re"], "frac_coords": [[0.0000, 0.0000, 0.0000], [0.5000, 0.5000, 0.0000], [0.2606, 0.7606, 0.5000], [0.7394, 0.2394, 0.5000]]}


3.
{"formula": "MgTaRe2", "functional": "PBE", "state": "relaxed", "density_g_cm3": 14.89, "vol_a3_per_cell": 64.4, "magnetic_moment_mub_per_cell": 0.00, "formation_energy_ev_per_atom": 0.1557, "crystal_system": "monoclinic", "energy_ev_per_atom": -9.430, "lattice_angstrom": [[2.8140, -4.4855, 0.0000], [2.8140, 4.4855, 0.0000], [-0.9555, 0.0000, 2.5524]], "species": ["Mg", "Ta", "Re", "Re"], "frac_coords": [[0.0000, 0.0000, 0.0000], [0.5000, 0.5000, 0.0000], [0.0000, 0.5000, 0.5000], [0.5000, 0.0000, 0.5000]]}


4.
{"formula": "Mg2TaRe", "functional": "PBE", "state": "relaxed", "density_g_cm3": 9.56, "vol_a3_per_cell": 72.2, "magnetic_moment_mub_per_cell": 0.00, "formation_energy_ev_per_atom": 0.2684, "crystal_system": "orthorhombic", "energy_ev_per_atom": -6.604, "lattice_angstrom": [[-1.7286, 2.3854, 4.3762], [1.7286, -2.3854, 4.3762], [1.7286, 2.3854, -4.3762]], "species": ["Mg", "Mg", "Ta", "Re"], "frac_coords": [[0.0000, 0.0000, 0.0000], [0.7417, 0.2417, 0.5000], [0.2749, 0.7749, 0.5000], [0.4853, 0.4853, 0.0000]]}


5.
{"formula": "Mg3TaRe", "functional": "PBE", "state": "relaxed", "density_g_cm3": 6.33, "vol_a3_per_cell": 115.5, "magnetic_moment_mub_per_cell": 0.00, "formation_energy_ev_per_atom": 1.6538, "crystal_system": "cubic", "energy_ev_per_atom": -4.163, "lattice_angstrom": [[4.8703, 0.0000, 0.0000], [0.0000, 4.8703, 0.0000], [0.0000, 0.0000, 4.8703]], "species": ["Mg", "Mg", "Mg", "Ta", "Re"], "frac_coords": [[0.0000, 0.0000, 0.5000], [0.0000, 0.5000, 0.0000], [0.5000, 0.0000, 0.0000], [0.5000, 0.5000, 0.5000], [0.0000, 0.0000, 0.0000]]}


6.
{"formula": "Mg2TaRe", "functional": "PBE", "state": "relaxed", "density_g_cm3": 9.92, "vol_a3_per_cell": 69.6, "magnetic_moment_mub_per_cell": 0.00, "formation_energy_ev_per_atom": 0.2266, "crystal_system": "tetragonal", "energy_ev_per_atom": -6.646, "lattice_angstrom": [[-1.9319, 1.9319, 4.6603], [1.9319, -1.9319, 4.6603], [1.9319, 1.9319, -4.6603]], "species": ["Mg", "Mg", "Ta", "Re"], "frac_coords": [[0.2500, 0.7500, 0.5000], [0.7500, 0.2500, 0.5000], [0.0000, 0.0000, 0.0000], [0.5000, 0.5000, 0.0000]]}


7.
{"formula": "Mg2TaRe2", "functional": "PBE", "state": "relaxed", "density_g_cm3": 10.40, "vol_a3_per_cell": 192.2, "magnetic_moment_mub_per_cell": 0.00, "formation_energy_ev_per_atom": 0.5089, "crystal_system": "tetragonal", "energy_ev_per_atom": -7.479, "lattice_angstrom": [[6.5110, 0.0000, 0.0000], [0.0000, 6.5110, 0.0000], [0.0000, 0.0000, 4.5340]], "species": ["Mg", "Mg", "Mg", "Mg", "Ta", "Ta", "Re", "Re", "Re", "Re"], "frac_coords": [[0.1691, 0.3309, 0.0000], [0.3309, 0.8309, 0.0000], [0.6691, 0.1691, 0.0000], [0.8309, 0.6691, 0.0000], [0.0000, 0.0000, 0.5000], [0.5000, 0.5000, 0.5000], [0.1315, 0.6315, 0.5000], [0.3685, 0.1315, 0.5000], [0.6315, 0.8685, 0.5000], [0.8685, 0.3685, 0.5000]]}


8.
{"formula": "MgTa2Re", "functional": "PBE", "state": "relaxed", "density_g_cm3": 13.65, "vol_a3_per_cell": 69.6, "magnetic_moment_mub_per_cell": 0.00, "formation_energy_ev_per_atom": 0.2427, "crystal_system": "orthorhombic", "energy_ev_per_atom": -9.194, "lattice_angstrom": [[2.6966, 0.0000, 0.0000], [0.0000, 4.5599, 0.0000], [0.0000, 0.0000, 5.6613]], "species": ["Mg", "Ta", "Ta", "Re"], "frac_coords": [[0.0000, 0.0000, 0.0000], [0.0000, 0.0000, 0.4906], [0.5000, 0.5000, 0.7591], [0.5000, 0.5000, 0.2535]]}